--- P ---
DFT (PBE-GGA) results for a relaxed structure of NpBN2.

Cell: 6.021 4.822 7.285 Å, 90.00 119.98 90.00°
Space group P2_1/c (No. 14)
Symmetry-distinct sites (fractional):
Np: 0.183 0.231 0.428
B: 0.367 0.726 0.649
N: 0.122 0.742 0.448
N: 0.453 0.040 0.266

Summary:
ρ (g cm⁻³): 10.00

=====

--- Q ---
DFT (PBE-GGA) results for a relaxed structure of NpBN2.

Cell: 2.8527 2.8527 17.1787 Å, 90.00 90.00 120.00°
Space group R-3m (No. 166, hexagonal axes)
Symmetry-distinct sites (fractional):
Np: 0.0000 0.0000 0.0000
B: 0.0000 0.0000 0.5000
N: 0.0000 0.0000 0.1171

Summary:
ρ (g cm⁻³): 11.35

=====

Quick one: least stable of them? Q

=====

--- P ---
DFT (PBE-GGA) results for a relaxed structure of BOs2N.

Cell: 4.649 4.649 9.321 Å, 90.00 90.00 90.00°
Space group I-42d (No. 122)
Symmetry-distinct sites (fractional):
B: 0.000 0.000 0.000
Os: 0.232 0.250 0.625
N: 0.000 0.000 0.500

Summary:
ρ (g cm⁻³): 13.36

=====

--- Q ---
DFT (PBE-GGA) results for a relaxed structure of BOs2N.

Cell: 5.454 5.454 5.454 Å, 90.00 90.00 90.00°
Space group Fm-3m (No. 225)
Symmetry-distinct sites (fractional):
B: 0.000 0.000 0.000
Os: 0.250 0.250 0.250
N: 0.000 0.000 0.500

Summary:
ρ (g cm⁻³): 16.60

=====

Quick one: least stable of them? Q

=====

--- P ---
DFT (PBE-GGA) results for a relaxed structure of BOsS2N.

Cell: 4.690 4.690 2.748 Å, 90.00 90.00 90.00°
Space group P4/mmm (No. 123)
Symmetry-distinct sites (fractional):
B: 0.000 0.000 0.000
Os: 0.500 0.500 0.500
S: 0.000 0.500 0.000
N: 0.000 0.000 0.500

Summary:
ρ (g cm⁻³): 7.67

=====

--- Q ---
DFT (PBE-GGA) results for a relaxed structure of BOsS2N.

Cell: 4.785 4.785 3.669 Å, 90.00 90.00 90.00°
Space group P4/mmm (No. 123)
Symmetry-distinct sites (fractional):
B: 0.000 0.000 0.000
Os: 0.500 0.500 0.500
S: 0.000 0.500 0.500
N: 0.500 0.500 0.000

Summary:
ρ (g cm⁻³): 5.52

=====

Quick one: least stable of them? Q